The following is a PBE calculation of a relaxed structure of Gd3Mg3HgPd2, from the Open Quantum Materials Database.

a = 7.5834 Å, b = 7.5834 Å, c = 4.1379 Å
α = 90.00°, β = 90.00°, γ = 120.00°
Last column: nearest neighbours and their distance in Å.
Sites, in units of the cell vectors:
Gd (0.4198, 0.0000, 0.5000)  4 Pd 3.07, 1 Hg 3.18, 2 Mg 3.22
Gd (0.0000, 0.4198, 0.5000)  4 Pd 3.07, 1 Hg 3.18, 2 Mg 3.22
Gd (0.5802, 0.5802, 0.5000)  4 Pd 3.07, 1 Hg 3.18, 2 Mg 3.22
Hg (0.0000, 0.0000, 0.5000)  6 Mg 2.83
Mg (0.7454, 0.0000, 0.0000)  2 Hg 2.83, 2 Pd 2.87
Mg (0.2546, 0.2546, 0.0000)  2 Hg 2.83, 2 Pd 2.87
Mg (0.0000, 0.7454, 0.0000)  2 Hg 2.83, 2 Pd 2.87
Pd (0.6667, 0.3333, 0.0000)  3 Mg 2.87, 6 Gd 3.07
Pd (0.3333, 0.6667, 0.0000)  3 Mg 2.87, 6 Gd 3.07

Output
total energy	-34.39	eV per cell